Record 1
First-principles (GGA-PBE) data for OsSNO2 after structural relaxation, as listed in the Alexandria database.

It has space group P4/mmm (No. 123), with a = 3.816 Å, b = 3.816 Å, c = 3.998 Å, α = 90.00°, β = 90.00° and γ = 90.00°. The asymmetric unit holds Os at (0.000, 0.000, 0.000), S at (0.500, 0.500, 0.500), N at (0.000, 0.000, 0.500) and O at (0.000, 0.500, 0.000).

As for the formation energy from raw total energies: 472 meV per atom. As for the energy: -6.2476 eV/atom. The calculation puts the volume at 11.6 Å³ per atom.

***

Record 2
First-principles (GGA-PBE) data for LaCd2Hg6 after structural relaxation, as listed in the Alexandria database.

It has space group C2/m (No. 12), with a = 15.600 Å, b = 9.049 Å, c = 3.288 Å, α = 90.00°, β = 101.28° and γ = 90.00°. The asymmetric unit holds La at (0.000, 0.000, 0.000), Cd at (0.150, 0.500, 0.142), Hg at (0.000, 0.331, 0.500) and Hg at (0.175, 0.170, 0.670).

Its formation energy is -0.13 eV/atom. As for the energy: -1.0831 eV/atom. The calculation puts the volume at 25.3 Å³ per atom. For the distance to the lowest polymorph of the same formula, the calculation gives 57 meV per atom.

***

Record 3
First-principles (GGA-PBE) data for Rb2CaFeCl6 after structural relaxation, as listed in the Alexandria database.

It has space group P2_1/c (No. 14), with a = 7.344 Å, b = 7.337 Å, c = 12.715 Å, α = 90.00°, β = 125.21° and γ = 90.00°. The asymmetric unit holds Rb at (0.246, 0.020, 0.250), Ca at (0.500, 0.000, 0.000), Fe at (0.000, 0.000, 0.500), Cl at (0.194, 0.238, 0.979), Cl at (0.241, 0.715, 0.979) and Cl at (0.280, 0.004, 0.739).

As for the formation energy from raw total energies: -1711 meV per atom. As for the energy: -4.0585 eV/atom. The calculation puts the volume at 28.0 Å³ per atom.

***

Record 4
First-principles (GGA-PBE) data for NaPuMnN3 after structural relaxation, as listed in the Alexandria database.

It has space group P2_1/m (No. 11), with a = 6.908 Å, b = 3.429 Å, c = 8.005 Å, α = 90.00°, β = 99.45° and γ = 90.00°. The asymmetric unit holds Na at (0.161, 0.250, 0.158), Pu at (0.355, 0.750, 0.837), Mn at (0.072, 0.250, 0.598), N at (0.133, 0.250, 0.827), N at (0.170, 0.750, 0.552) and N at (0.440, 0.750, 0.119).

As for the formation energy from raw total energies: -584 meV per atom. As for the energy: -8.8833 eV/atom. The calculation puts the volume at 15.6 Å³ per atom.

***

Record 5
First-principles (GGA-PBE) data for CsLiAu after structural relaxation, as listed in the Alexandria database.

It has space group I4mm (No. 107), with a = 3.844 Å, b = 3.844 Å, c = 12.751 Å, α = 90.00°, β = 90.00° and γ = 90.00°. The asymmetric unit holds Cs at (0.000, 0.000, 0.000), Li at (0.000, 0.000, 0.254) and Au at (0.000, 0.000, 0.717).

Its formation energy is -0.17 eV/atom. As for the energy: -2.1850 eV/atom. The calculation puts the volume at 31.4 Å³ per atom. For the distance to the lowest polymorph of the same formula, the calculation gives 118 meV per atom.

***

Record 6
First-principles (GGA-PBE) data for Zr4AgIr after structural relaxation, as listed in the Alexandria database.

It has space group C2/m (No. 12), with a = 14.744 Å, b = 3.157 Å, c = 5.759 Å, α = 90.00°, β = 110.38° and γ = 90.00°. The asymmetric unit holds Zr at (0.159, 0.000, 0.321), Zr at (0.160, 0.500, 0.839), Ag at (0.000, 0.000, 0.500) and Ir at (0.000, 0.500, 0.000).

Its formation energy is -0.07 eV/atom. As for the energy: -7.7237 eV/atom. The calculation puts the volume at 20.9 Å³ per atom. For the distance to the lowest polymorph of the same formula, the calculation gives 0 meV per atom.

***

Number 1: magnetic moment 0.016 μB per formula unit. Number 2: magnetic moment 0.286 μB per formula unit. Number 3: magnetic moment 4.000 μB per formula unit. Number 4: magnetic moment 5.175 μB per formula unit. Number 5: magnetic moment 0.000 μB per formula unit. Number 6: magnetic moment 0.000 μB per formula unit.